Density functional theory data (PBE-GGA) for a relaxed structure of NaLi2UF8.

Lattice parameters (Å, degrees): 4.853 4.881 7.362 90.00 90.00 84.68
Last column: magnetic moment on the atom in μB.
Fractional coordinates of all 12 atoms:
Li  0.500  0.500  0.668  0.00
F  0.215  0.784  0.787  -0.02
Li  0.500  0.500  0.332  0.00
F  0.309  0.308  0.500  0.00
Na  0.000  0.000  0.500  0.00
F  0.288  0.284  0.000  -0.02
F  0.215  0.784  0.213  -0.02
U  0.000  0.000  0.000  1.07
F  0.785  0.216  0.213  -0.02
F  0.785  0.216  0.787  -0.02
F  0.712  0.716  0.000  -0.02
F  0.691  0.692  0.500  0.00

Results
- Formation energy from raw total energies: -3169.3 meV per atom
- Space group: P2/m, No. 10
- Total magnetic moment: 0.083 μB per atom